Density functional theory data (PBE) for crystalline Ca2Ge2Rh5Au at its relaxed geometry.

abc: 3.513 9.941 9.941
angles: 90.00 90.00 90.00
Fractional positions:
Rh (0.500, 0.932, 0.211)
Rh (0.500, 0.789, 0.932)
Rh (0.500, 0.432, 0.289)
Rh (0.500, 0.211, 0.068)
Rh (0.500, 0.711, 0.432)
Rh (0.500, 0.289, 0.568)
Rh (0.500, 0.000, 0.500)
Rh (0.500, 0.068, 0.789)
Rh (0.500, 0.568, 0.711)
Rh (0.500, 0.500, 0.000)
Ge (0.000, 0.626, 0.874)
Ge (0.000, 0.126, 0.626)
Ge (0.000, 0.374, 0.126)
Ge (0.000, 0.874, 0.374)
Ca (0.000, 0.826, 0.674)
Ca (0.000, 0.674, 0.174)
Ca (0.000, 0.174, 0.326)
Ca (0.000, 0.326, 0.826)
Au (0.000, 0.000, 0.000)
Au (0.000, 0.500, 0.500)

- Energy: -5.852 eV per atom
- Total magnetic moment: 0.000 μB/atom